First-principles (GGA-PBE) data for a relaxed SrCdGe2O6 crystal, as listed in Alexandria.

CIF file:
```
data_SrCdGe2O6
_chemical_formula_sum 'Sr4 Cd4 Ge8 O24'
_space_group_name_H-M_alt 'C 1 2/c 1'
_space_group_IT_number 15
_space_group_name_Hall '-C 2yc'
_cell_length_a 10.487
_cell_length_b 10.614
_cell_length_c 5.420
_cell_angle_alpha 90.00
_cell_angle_beta 100.33
_cell_angle_gamma 90.00
loop_
_atom_site_label
_atom_site_type_symbol
_atom_site_fract_x
_atom_site_fract_y
_atom_site_fract_z
_atom_site_occupancy
Sr1 Sr 0.000 0.106 0.250 1
Cd1 Cd 0.000 0.298 0.750 1
Ge1 Ge 0.205 0.415 0.259 1
O1 O 0.118 0.287 0.121 1
O2 O 0.126 0.097 0.684 1
O3 O 0.154 0.447 0.561 1
```

First-principles (GGA-PBE) data for a relaxed Rb2BePdF6 crystal, as listed in Alexandria.

CIF file:
```
data_Rb2BePdF6
_chemical_formula_sum 'Rb4 Be2 Pd2 F12'
_space_group_name_H-M_alt 'I 4/m m m'
_space_group_IT_number 139
_space_group_name_Hall '-I 4 2'
_cell_length_a 5.750
_cell_length_b 5.750
_cell_length_c 8.266
_cell_angle_alpha 90.00
_cell_angle_beta 90.00
_cell_angle_gamma 90.00
loop_
_atom_site_label
_atom_site_type_symbol
_atom_site_fract_x
_atom_site_fract_y
_atom_site_fract_z
_atom_site_occupancy
Rb1 Rb 0.000 0.500 0.250 1
Be1 Be 0.000 0.000 0.000 1
Pd1 Pd 0.000 0.000 0.500 1
F1 F 0.000 0.000 0.230 1
F2 F 0.222 0.222 0.000 1
```

no.,E (eV for the cell shown),formation energy without anion corrections (eV/atom),volume (Å³/f.u.)
1,-240.1,-1.8442,148.4
2,-90.2,-2.3032,136.6